Entry 1:
A plane-wave DFT calculation with PBE-GGA was carried out for TaAs2HOs after structural relaxation.

Structure (extended XYZ):
```
5
Lattice="4.463 0.000 0.000 0.000 4.463 0.000 0.000 0.000 3.359" Properties=species:S:1:pos:R:3 pbc="T T T"
Ta 0.000 0.000 0.000
As 0.000 2.231 1.680
As 2.231 0.000 1.680
H 2.231 2.231 1.680
Os 2.231 2.231 0.000
```

Output
D(E_F): 1.9 states/eV per cell
Calculated total energy: -6.946 eV per atom
Calculated volume: 13.38 Å³/atom

=====

Entry 2:
A plane-wave DFT calculation with PBE-GGA was carried out for HfNbBr3 after structural relaxation.

Structure (extended XYZ):
```
5
Lattice="5.245 0.000 0.000 0.000 5.245 0.000 0.000 0.000 5.245" Properties=species:S:1:pos:R:3 pbc="T T T"
Hf 0.000 0.000 0.000
Nb 2.623 2.623 2.623
Br 0.000 0.000 2.623
Br 0.000 2.623 0.000
Br 2.623 0.000 0.000
```

Output
Uncorrected formation energy: 188 kJ/mol of formula units
D(E_F): 8.2 states/eV per cell
Relative energy among the computed polymorphs: 0.000 eV per atom
Calculated volume: 28.86 Å³/atom

=====

Entry 3:
A plane-wave DFT calculation with PBE-GGA was carried out for Sr2CdPRh after structural relaxation.

Structure (extended XYZ):
```
5
Lattice="5.870 0.000 0.000 0.000 5.870 0.000 0.000 0.000 4.367" Properties=species:S:1:pos:R:3 pbc="T T T"
Sr 0.000 2.935 0.000
Sr 2.935 0.000 0.000
Cd 0.000 0.000 2.184
P 2.935 2.935 0.000
Rh 2.935 2.935 2.184
```

Output
ΔH_f (0 K): -0.51 eV/atom
D(E_F): 2.7 states/eV per cell
Relative energy among the computed polymorphs: 0.000 eV per atom
Calculated volume: 30.10 Å³/atom

=====

> What is the formula in the first record?

TaAs2HOs

=====

> Among the records above, which one has the lowest D(E_F)?

TaAs2HOs

=====

> The lowest calculated volume belongs to which entry?

TaAs2HOs

=====

> Look up the calculated volume of the third one.

30.10 Å³/atom